A:
! LiY2Ir2 PBE optimized geometry; values from VASP
&SYSTEM
  ibrav = 0, nat = 10, ntyp = 3
/
ATOMIC_SPECIES
Li 6.94 Li.upf
Y 88.91 Y.upf
Ir 192.22 Ir.upf
CELL_PARAMETERS angstrom
4.213 0.000 0.000
0.000 5.875 0.000
0.000 0.000 8.166
ATOMIC_POSITIONS crystal
Li 0.000 0.000 0.000
Li 0.500 0.500 0.500
Y 0.000 0.500 0.207
Y 0.000 0.500 0.793
Y 0.500 0.000 0.293
Y 0.500 0.000 0.707
Ir 0.000 0.226 0.500
Ir 0.000 0.774 0.500
Ir 0.500 0.274 0.000
Ir 0.500 0.726 0.000
! M_tot   0.00 μB per formula unit
! Crystal system   orthorhombic

B:
! LiY2Ir2 PBE optimized geometry; values from VASP
&SYSTEM
  ibrav = 0, nat = 10, ntyp = 3
/
ATOMIC_SPECIES
Li 6.94 Li.upf
Y 88.91 Y.upf
Ir 192.22 Ir.upf
CELL_PARAMETERS angstrom
7.403 0.000 0.000
0.000 7.403 0.000
0.000 0.000 3.864
ATOMIC_POSITIONS crystal
Li 0.000 0.000 0.000
Li 0.500 0.500 0.000
Y 0.170 0.330 0.500
Y 0.330 0.830 0.500
Y 0.670 0.170 0.500
Y 0.830 0.670 0.500
Ir 0.129 0.629 0.000
Ir 0.371 0.129 0.000
Ir 0.629 0.871 0.000
Ir 0.871 0.371 0.000
! M_tot   0.00 μB per formula unit
! Crystal system   tetragonal

C:
! LiY2Ir2 PBE optimized geometry; values from VASP
&SYSTEM
  ibrav = 0, nat = 10, ntyp = 3
/
ATOMIC_SPECIES
Li 6.94 Li.upf
Y 88.91 Y.upf
Ir 192.22 Ir.upf
CELL_PARAMETERS angstrom
5.020 -2.690 0.000
5.020 2.690 0.000
-2.353 0.000 7.548
ATOMIC_POSITIONS crystal
Li 0.139 0.861 0.750
Li 0.861 0.139 0.250
Y 0.200 0.509 0.351
Y 0.491 0.800 0.149
Y 0.509 0.200 0.851
Y 0.800 0.491 0.649
Ir 0.016 0.715 0.989
Ir 0.285 0.984 0.511
Ir 0.715 0.016 0.489
Ir 0.984 0.285 0.011
! M_tot   0.00 μB per formula unit
! Crystal system   monoclinic

D:
! LiY2Ir2 PBE optimized geometry; values from VASP
&SYSTEM
  ibrav = 0, nat = 10, ntyp = 3
/
ATOMIC_SPECIES
Li 6.94 Li.upf
Y 88.91 Y.upf
Ir 192.22 Ir.upf
CELL_PARAMETERS angstrom
8.156 0.000 0.000
0.000 8.156 0.000
0.000 0.000 3.229
ATOMIC_POSITIONS crystal
Li 0.000 0.000 0.000
Li 0.500 0.500 0.000
Y 0.149 0.351 0.000
Y 0.351 0.851 0.000
Y 0.649 0.149 0.000
Y 0.851 0.649 0.000
Ir 0.147 0.647 0.500
Ir 0.353 0.147 0.500
Ir 0.647 0.853 0.500
Ir 0.853 0.353 0.500
! M_tot   0.00 μB per formula unit
! Crystal system   tetragonal

Stability, lowest: D

A:
! Li3YIr PBE optimized geometry; values from VASP
&SYSTEM
  ibrav = 0, nat = 5, ntyp = 3
/
ATOMIC_SPECIES
Li 6.94 Li.upf
Y 88.91 Y.upf
Ir 192.22 Ir.upf
CELL_PARAMETERS angstrom
4.457 0.000 0.000
0.000 4.457 0.000
0.000 0.000 4.457
ATOMIC_POSITIONS crystal
Li 0.000 0.000 0.500
Li 0.000 0.500 0.000
Li 0.500 0.000 0.000
Y 0.000 0.000 0.000
Ir 0.500 0.500 0.500
! M_tot   0.00 μB per formula unit
! Crystal system   cubic

B:
! Li3YIr PBE optimized geometry; values from VASP
&SYSTEM
  ibrav = 0, nat = 5, ntyp = 3
/
ATOMIC_SPECIES
Li 6.94 Li.upf
Y 88.91 Y.upf
Ir 192.22 Ir.upf
CELL_PARAMETERS angstrom
4.608 0.000 0.000
0.000 4.608 0.000
0.000 0.000 4.608
ATOMIC_POSITIONS crystal
Li 0.000 0.000 0.500
Li 0.000 0.500 0.000
Li 0.500 0.000 0.000
Y 0.500 0.500 0.500
Ir 0.000 0.000 0.000
! M_tot   0.00 μB per formula unit
! Crystal system   cubic

Stability, lowest: A

A:
! LiZn2Ir PBE optimized geometry; values from VASP
&SYSTEM
  ibrav = 0, nat = 4, ntyp = 3
/
ATOMIC_SPECIES
Li 6.94 Li.upf
Zn 65.41 Zn.upf
Ir 192.22 Ir.upf
CELL_PARAMETERS angstrom
3.198 0.000 0.000
0.000 3.198 0.000
0.000 0.000 5.429
ATOMIC_POSITIONS crystal
Li 0.000 0.000 0.000
Zn 0.000 0.000 0.527
Zn 0.500 0.500 0.247
Ir 0.500 0.500 0.762
! M_tot   0.00 μB per formula unit
! Crystal system   tetragonal

B:
! LiZn2Ir PBE optimized geometry; values from VASP
&SYSTEM
  ibrav = 0, nat = 16, ntyp = 3
/
ATOMIC_SPECIES
Li 6.94 Li.upf
Zn 65.41 Zn.upf
Ir 192.22 Ir.upf
CELL_PARAMETERS angstrom
6.012 0.000 0.000
0.000 6.012 0.000
0.000 0.000 6.012
ATOMIC_POSITIONS crystal
Li 0.000 0.000 0.000
Li 0.000 0.500 0.500
Li 0.500 0.000 0.500
Li 0.500 0.500 0.000
Zn 0.000 0.000 0.500
Zn 0.000 0.500 0.000
Zn 0.250 0.250 0.750
Zn 0.250 0.750 0.250
Zn 0.500 0.000 0.000
Zn 0.500 0.500 0.500
Zn 0.750 0.250 0.250
Zn 0.750 0.750 0.750
Ir 0.250 0.250 0.250
Ir 0.250 0.750 0.750
Ir 0.750 0.250 0.750
Ir 0.750 0.750 0.250
! M_tot   0.00 μB per formula unit
! Crystal system   cubic

Stability, lowest: A

A:
! LiZn2Ir PBE optimized geometry; values from VASP
&SYSTEM
  ibrav = 0, nat = 4, ntyp = 3
/
ATOMIC_SPECIES
Li 6.94 Li.upf
Zn 65.41 Zn.upf
Ir 192.22 Ir.upf
CELL_PARAMETERS angstrom
2.755 0.000 0.000
0.000 3.945 0.000
0.000 0.000 5.220
ATOMIC_POSITIONS crystal
Li 0.000 0.000 0.000
Zn 0.000 0.000 0.529
Zn 0.500 0.500 0.243
Ir 0.500 0.500 0.749
! M_tot   0.17 μB per formula unit
! Crystal system   orthorhombic

B:
! LiZn2Ir PBE optimized geometry; values from VASP
&SYSTEM
  ibrav = 0, nat = 8, ntyp = 3
/
ATOMIC_SPECIES
Li 6.94 Li.upf
Zn 65.41 Zn.upf
Ir 192.22 Ir.upf
CELL_PARAMETERS angstrom
2.894 0.000 0.000
0.000 4.581 0.000
0.000 0.000 8.798
ATOMIC_POSITIONS crystal
Li 0.000 0.000 0.000
Li 0.500 0.500 0.000
Zn 0.000 0.500 0.251
Zn 0.000 0.500 0.749
Zn 0.500 0.000 0.251
Zn 0.500 0.000 0.749
Ir 0.000 0.000 0.500
Ir 0.500 0.500 0.500
! M_tot   0.00 μB per formula unit
! Crystal system   orthorhombic

C:
! LiZn2Ir PBE optimized geometry; values from VASP
&SYSTEM
  ibrav = 0, nat = 16, ntyp = 3
/
ATOMIC_SPECIES
Li 6.94 Li.upf
Zn 65.41 Zn.upf
Ir 192.22 Ir.upf
CELL_PARAMETERS angstrom
6.051 0.000 0.000
0.000 6.051 0.000
0.000 0.000 6.051
ATOMIC_POSITIONS crystal
Li 0.000 0.000 0.000
Li 0.000 0.500 0.500
Li 0.500 0.000 0.500
Li 0.500 0.500 0.000
Zn 0.250 0.250 0.250
Zn 0.250 0.250 0.750
Zn 0.250 0.750 0.250
Zn 0.250 0.750 0.750
Zn 0.750 0.250 0.250
Zn 0.750 0.250 0.750
Zn 0.750 0.750 0.250
Zn 0.750 0.750 0.750
Ir 0.000 0.000 0.500
Ir 0.000 0.500 0.000
Ir 0.500 0.000 0.000
Ir 0.500 0.500 0.500
! M_tot   0.00 μB per formula unit
! Crystal system   cubic

Stability, lowest: B

A:
! LiZn6Ir PBE optimized geometry; values from VASP
&SYSTEM
  ibrav = 0, nat = 8, ntyp = 3
/
ATOMIC_SPECIES
Li 6.94 Li.upf
Zn 65.41 Zn.upf
Ir 192.22 Ir.upf
CELL_PARAMETERS angstrom
3.390 1.957 3.441
-3.390 1.957 3.441
0.000 -3.915 3.441
ATOMIC_POSITIONS crystal
Li 0.000 0.000 0.000
Zn 0.024 0.654 0.654
Zn 0.346 0.346 0.976
Zn 0.346 0.976 0.346
Zn 0.654 0.024 0.654
Zn 0.654 0.654 0.024
Zn 0.976 0.346 0.346
Ir 0.500 0.500 0.500
! M_tot   0.00 μB per formula unit
! Crystal system   trigonal

B:
! LiZn6Ir PBE optimized geometry; values from VASP
&SYSTEM
  ibrav = 0, nat = 16, ntyp = 3
/
ATOMIC_SPECIES
Li 6.94 Li.upf
Zn 65.41 Zn.upf
Ir 192.22 Ir.upf
CELL_PARAMETERS angstrom
6.762 0.000 0.000
0.000 8.163 0.000
0.000 0.000 4.105
ATOMIC_POSITIONS crystal
Li 0.000 0.000 0.000
Li 0.500 0.500 0.000
Zn 0.000 0.268 0.500
Zn 0.000 0.732 0.500
Zn 0.233 0.000 0.500
Zn 0.250 0.250 0.000
Zn 0.250 0.750 0.000
Zn 0.267 0.500 0.500
Zn 0.500 0.232 0.500
Zn 0.500 0.768 0.500
Zn 0.733 0.500 0.500
Zn 0.750 0.250 0.000
Zn 0.750 0.750 0.000
Zn 0.767 0.000 0.500
Ir 0.000 0.500 0.000
Ir 0.500 0.000 0.000
! M_tot   0.00 μB per formula unit
! Crystal system   orthorhombic

Stability, lowest: A

A:
! LiZnIr PBE optimized geometry; values from VASP
&SYSTEM
  ibrav = 0, nat = 3, ntyp = 3
/
ATOMIC_SPECIES
Li 6.94 Li.upf
Zn 65.41 Zn.upf
Ir 192.22 Ir.upf
CELL_PARAMETERS angstrom
4.256 0.000 0.000
-2.128 3.686 0.000
0.000 0.000 2.591
ATOMIC_POSITIONS crystal
Li 0.000 0.000 0.000
Zn 0.333 0.667 0.197
Ir 0.667 0.333 0.610
! M_tot   0.00 μB per formula unit
! Crystal system   trigonal

B:
! LiZnIr PBE optimized geometry; values from VASP
&SYSTEM
  ibrav = 0, nat = 6, ntyp = 3
/
ATOMIC_SPECIES
Li 6.94 Li.upf
Zn 65.41 Zn.upf
Ir 192.22 Ir.upf
CELL_PARAMETERS angstrom
3.146 0.000 0.000
0.000 3.146 0.000
0.000 0.000 8.139
ATOMIC_POSITIONS crystal
Li 0.000 0.000 0.000
Li 0.500 0.500 0.500
Zn 0.000 0.000 0.328
Zn 0.500 0.500 0.828
Ir 0.000 0.000 0.664
Ir 0.500 0.500 0.164
! M_tot   0.00 μB per formula unit
! Crystal system   tetragonal

Stability, lowest: B